(1)
First-principles (PBE-GGA) data for a geometry-optimized K2HgO structure, as listed in Alexandria.

a b c (Å): 4.0337 4.0337 30.6295
angles (deg): 90.00 90.00 120.00
Space group R-3m (No. 166, hexagonal axes)
Unique sites:
K  0.0000  0.0000  0.1259 x6
Hg  0.0000  0.0000  0.0000 x3
O  0.0000  0.0000  0.5000 x3

Output
Polymorph energy (0 for the lowest one) in kJ per mole of atoms: 1.7
ΔE_f (raw) in eV/atom: -0.726


(2)
First-principles (PBE-GGA) data for a geometry-optimized AlRh2Au structure, as listed in Alexandria.

a b c (Å): 2.9425 4.7290 8.7829
angles (deg): 90.00 90.00 90.00
Space group Cmmm (No. 65)
Unique sites:
Al  0.0000  0.0000  0.0000 x2
Rh  0.0000  0.5000  0.2211 x4
Au  0.0000  0.0000  0.5000 x2

Output
Formation energy in eV/f.u.: -1.17